Here is a relaxed structure of B2IF from Alexandria. Energies are from PBE-GGA.

```
B2IF
1.0
0.0000 3.0290 3.0290
3.0290 0.0000 3.0290
3.0290 3.0290 0.0000
B I F
2 1 1
direct
0.2500 0.2500 0.2500
0.7500 0.7500 0.7500
0.0000 0.0000 0.0000
0.5000 0.5000 0.5000
```

Output
The value obtained for the total DFT energy (no corrections) is -11.2 eV for the cell shown. For the uncorrected formation energy, the calculation gives 1.389 eV per atom. Its crystal system is cubic. As for the total magnetic moment: 0.00 μB per formula unit. The energy above the most stable polymorph in this dataset is 52.1 kJ per mole of atoms. Its space group is Fm-3m.